Model 1:
The following is a DFT calculation (PBE) of an optimized crystal structure of AlCd3Sn.

Calculated values
V   173.0 Å³ per cell

Cell lengths 5.5716, 5.5716, 5.5716 Å; angles 90.00, 90.00, 90.00 degrees
Space group Pm-3m (No. 221)
Unique sites:
Al1 0.0000 0.0000 0.0000 [1 per cell]
Cd1 0.0000 0.5000 0.5000 [3 per cell]
Sn1 0.5000 0.5000 0.5000 [1 per cell]

=====

Model 2:
The following is a DFT calculation (PBE) of an optimized crystal structure of AlCd3Sn.

Calculated values
V   141.8 Å³ per cell

Cell lengths 5.2143, 5.2143, 5.2143 Å; angles 90.00, 90.00, 90.00 degrees
Space group Pm-3m (No. 221)
Unique sites:
Al1 0.0000 0.0000 0.0000 [1 per cell]
Cd1 0.0000 0.0000 0.5000 [3 per cell]
Sn1 0.5000 0.5000 0.5000 [1 per cell]

=====

Verdict on stability: model 1 comes out at the bottom.

=====

Model 1:
The following is a DFT calculation (PBE) of an optimized crystal structure of AlCdSn.

Calculated values
V   278.3 Å³ per cell

Cell lengths 8.9857, 6.9047, 5.6937 Å; angles 90.00, 128.03, 90.00 degrees
Space group C2 (No. 5)
Unique sites:
Al1 0.0000 0.0000 0.0000 [2 per cell]
Al2 0.0000 0.0000 0.5000 [2 per cell]
Cd1 0.1588 0.6586 0.4081 [4 per cell]
Sn1 0.1519 0.3516 0.9004 [4 per cell]

=====

Model 2:
The following is a DFT calculation (PBE) of an optimized crystal structure of AlCdSn.

Calculated values
V   137.1 Å³ per cell

Cell lengths 3.2761, 3.2761, 12.7761 Å; angles 90.00, 90.00, 90.00 degrees
Space group I4mm (No. 107)
Unique sites:
Al1 0.0000 0.0000 0.0000 [2 per cell]
Cd1 0.0000 0.0000 0.3482 [2 per cell]
Sn1 0.0000 0.0000 0.6586 [2 per cell]

=====

Verdict on stability: model 2 comes out at the bottom.

=====

Model 1:
The following is a DFT calculation (PBE) of an optimized crystal structure of AlCdSn.

Calculated values
V   70.3 Å³ per cell

Cell lengths 4.9331, 4.9331, 3.3373 Å; angles 90.00, 90.00, 120.00 degrees
Space group P3m1 (No. 156)
Unique sites:
Al1 0.0000 0.0000 0.0000 [1 per cell]
Cd1 0.6667 0.3333 0.0151 [1 per cell]
Sn1 0.3333 0.6667 0.5085 [1 per cell]

=====

Model 2:
The following is a DFT calculation (PBE) of an optimized crystal structure of AlCdSn.

Calculated values
V   142.1 Å³ per cell

Cell lengths 4.0992, 5.5768, 6.7823 Å; angles 73.86, 73.30, 80.92 degrees
Space group P1 (No. 1)
Unique sites:
Al1 0.0000 0.0000 0.0000 [1 per cell]
Al2 0.4782 0.3439 0.8980 [1 per cell]
Cd1 0.1502 0.3943 0.5585 [1 per cell]
Cd2 0.8221 0.4759 0.1887 [1 per cell]
Sn1 0.3433 0.9535 0.3345 [1 per cell]
Sn2 0.6609 0.8558 0.7279 [1 per cell]

=====

Model 3:
The following is a DFT calculation (PBE) of an optimized crystal structure of AlCdSn.

Calculated values
V   70.4 Å³ per cell

Cell lengths 3.0314, 3.7122, 6.5364 Å; angles 73.62, 88.95, 86.64 degrees
Space group P1 (No. 1)
Unique sites:
Al1 0.0000 0.0000 0.0000 [1 per cell]
Cd1 0.4978 0.3527 0.2911 [1 per cell]
Sn1 0.4996 0.6516 0.6920 [1 per cell]

=====

Model 4:
The following is a DFT calculation (PBE) of an optimized crystal structure of AlCdSn.

Calculated values
V   301.3 Å³ per cell

Cell lengths 6.7041, 6.7041, 6.7041 Å; angles 90.00, 90.00, 90.00 degrees
Space group F-43m (No. 216)
Unique sites:
Al1 0.0000 0.0000 0.0000 [4 per cell]
Cd1 0.2500 0.2500 0.7500 [4 per cell]
Sn1 0.2500 0.2500 0.2500 [4 per cell]

=====

Verdict on stability: model 1 comes out at the bottom.

=====

Model 1:
The following is a DFT calculation (PBE) of an optimized crystal structure of TaAlCd3.

Calculated values
V   165.2 Å³ per cell

Cell lengths 5.4870, 5.4870, 5.4870 Å; angles 90.00, 90.00, 90.00 degrees
Space group Pm-3m (No. 221)
Unique sites:
Ta1 0.0000 0.0000 0.0000 [1 per cell]
Al1 0.5000 0.5000 0.5000 [1 per cell]
Cd1 0.0000 0.0000 0.5000 [3 per cell]

=====

Model 2:
The following is a DFT calculation (PBE) of an optimized crystal structure of TaAlCd3.

Calculated values
V   122.7 Å³ per cell

Cell lengths 4.9687, 4.9687, 4.9687 Å; angles 90.00, 90.00, 90.00 degrees
Space group Pm-3m (No. 221)
Unique sites:
Ta1 0.0000 0.0000 0.0000 [1 per cell]
Al1 0.5000 0.5000 0.5000 [1 per cell]
Cd1 0.0000 0.5000 0.5000 [3 per cell]

=====

Verdict on stability: model 1 comes out at the bottom.

=====

Model 1:
The following is a DFT calculation (PBE) of an optimized crystal structure of Tb3AlCd2.

Calculated values
V   154.1 Å³ per cell

Cell lengths 5.2504, 5.2504, 6.4559 Å; angles 90.00, 90.00, 120.00 degrees
Space group P-3m1 (No. 164)
Unique sites:
Tb1 0.0000 0.0000 0.0000 [1 per cell]
Tb2 0.3333 0.6667 0.6584 [2 per cell]
Al1 0.0000 0.0000 0.5000 [1 per cell]
Cd1 0.3333 0.6667 0.1589 [2 per cell]

=====

Model 2:
The following is a DFT calculation (PBE) of an optimized crystal structure of Tb3AlCd2.

Calculated values
V   153.6 Å³ per cell

Cell lengths 3.6802, 3.6802, 11.3416 Å; angles 90.00, 90.00, 90.00 degrees
Space group P4/mmm (No. 123)
Unique sites:
Tb1 0.0000 0.0000 0.0000 [1 per cell]
Tb2 0.0000 0.0000 0.3432 [2 per cell]
Al1 0.5000 0.5000 0.5000 [1 per cell]
Cd1 0.5000 0.5000 0.1704 [2 per cell]

=====

Verdict on stability: model 1 comes out at the bottom.

=====

Model 1:
The following is a DFT calculation (PBE) of an optimized crystal structure of Tb4Al3Cd.

Calculated values
V   201.9 Å³ per cell

Cell lengths 3.7078, 4.5891, 11.8679 Å; angles 90.00, 90.00, 90.00 degrees
Space group Pmm2 (No. 25)
Unique sites:
Tb1 0.0000 0.0000 0.0000 [1 per cell]
Tb2 0.0000 0.5000 0.3071 [1 per cell]
Tb3 0.5000 0.0000 0.4919 [1 per cell]
Tb4 0.5000 0.5000 0.8120 [1 per cell]
Al1 0.0000 0.5000 0.5804 [1 per cell]
Al2 0.5000 0.0000 0.2201 [1 per cell]
Al3 0.5000 0.5000 0.0856 [1 per cell]
Cd1 0.0000 0.0000 0.7198 [1 per cell]

=====

Model 2:
The following is a DFT calculation (PBE) of an optimized crystal structure of Tb4Al3Cd.

Calculated values
V   195.4 Å³ per cell

Cell lengths 5.1753, 5.1753, 7.2955 Å; angles 90.00, 90.00, 90.00 degrees
Space group P4/mmm (No. 123)
Unique sites:
Tb1 0.0000 0.5000 0.2460 [4 per cell]
Al1 0.0000 0.0000 0.0000 [1 per cell]
Al2 0.0000 0.0000 0.5000 [1 per cell]
Al3 0.5000 0.5000 0.0000 [1 per cell]
Cd1 0.5000 0.5000 0.5000 [1 per cell]

=====

Verdict on stability: model 1 comes out at the bottom.

=====

Model 1:
The following is a DFT calculation (PBE) of an optimized crystal structure of Tb4AlCd.

Calculated values
V   564.9 Å³ per cell

Cell lengths 5.0892, 5.0892, 25.1833 Å; angles 90.00, 90.00, 120.00 degrees
Space group R-3m (No. 166, hexagonal axes)
Unique sites:
Tb1 0.0000 0.0000 0.1221 [6 per cell]
Tb2 0.0000 0.0000 0.3729 [6 per cell]
Al1 0.0000 0.0000 0.0000 [3 per cell]
Cd1 0.0000 0.0000 0.5000 [3 per cell]

=====

Model 2:
The following is a DFT calculation (PBE) of an optimized crystal structure of Tb4AlCd.

Calculated values
V   332.5 Å³ per cell

Cell lengths 13.7776, 3.5130, 7.1085 Å; angles 90.00, 104.92, 90.00 degrees
Space group C2/m (No. 12)
Unique sites:
Tb1 0.1516 0.0000 0.3328 [4 per cell]
Tb2 0.1533 0.0000 0.8204 [4 per cell]
Al1 0.0000 0.5000 0.5000 [2 per cell]
Cd1 0.0000 0.5000 0.0000 [2 per cell]

=====

Verdict on stability: model 1 comes out at the bottom.

=====

Model 1:
The following is a DFT calculation (PBE) of an optimized crystal structure of Tb8AlCd2.

Calculated values
V   638.4 Å³ per cell

Cell lengths 17.9884, 5.2616, 7.0660 Å; angles 90.00, 107.33, 90.00 degrees
Space group C2/m (No. 12)
Unique sites:
Tb1 0.0211 0.0000 0.2708 [4 per cell]
Tb2 0.0918 0.5000 0.9554 [4 per cell]
Tb3 0.1637 0.5000 0.4645 [4 per cell]
Tb4 0.1948 0.0000 0.7937 [4 per cell]
Al1 0.0000 0.5000 0.5000 [2 per cell]
Cd1 0.1840 0.0000 0.2105 [4 per cell]

=====

Model 2:
The following is a DFT calculation (PBE) of an optimized crystal structure of Tb8AlCd2.

Calculated values
V   628.1 Å³ per cell

Cell lengths 16.2144, 5.3125, 8.5092 Å; angles 90.00, 121.02, 90.00 degrees
Space group C2/m (No. 12)
Unique sites:
Tb1 0.0681 0.0000 0.2195 [4 per cell]
Tb2 0.0904 0.5000 0.9437 [4 per cell]
Tb3 0.1322 0.0000 0.6786 [4 per cell]
Tb4 0.1788 0.5000 0.4493 [4 per cell]
Al1 0.0000 0.5000 0.5000 [2 per cell]
Cd1 0.2272 0.0000 0.1153 [4 per cell]

=====

Verdict on stability: model 1 comes out at the bottom.

=====

Model 1:
The following is a DFT calculation (PBE) of an optimized crystal structure of Tb2AlCd3.

Calculated values
V   1150.4 Å³ per cell

Cell lengths 7.0301, 9.7125, 16.8485 Å; angles 90.00, 90.00, 90.00 degrees
Space group Fmmm (No. 69)
Unique sites:
Tb1 0.2483 0.0000 0.0000 [8 per cell]
Tb2 0.2500 0.2500 0.2500 [8 per cell]
Al1 0.0000 0.0000 0.3335 [8 per cell]
Cd1 0.0000 0.0000 0.1697 [8 per cell]
Cd2 0.0000 0.2451 0.4154 [16 per cell]

=====

Model 2:
The following is a DFT calculation (PBE) of an optimized crystal structure of Tb2AlCd3.

Calculated values
V   143.7 Å³ per cell

Cell lengths 3.5252, 4.8536, 8.3996 Å; angles 90.00, 90.00, 90.00 degrees
Space group Pmm2 (No. 25)
Unique sites:
Tb1 0.0000 0.0000 0.0000 [1 per cell]
Tb2 0.0000 0.5000 0.4841 [1 per cell]
Al1 0.5000 0.0000 0.3249 [1 per cell]
Cd1 0.5000 0.0000 0.6527 [1 per cell]
Cd2 0.5000 0.5000 0.1622 [1 per cell]
Cd3 0.5000 0.5000 0.8240 [1 per cell]

=====

Verdict on stability: model 1 comes out at the bottom.

=====

Model 1:
The following is a DFT calculation (PBE) of an optimized crystal structure of AlCdTc2.

Calculated values
V   63.4 Å³ per cell

Cell lengths 3.2107, 4.4192, 4.4652 Å; angles 90.00, 90.00, 90.00 degrees
Space group Pmmm (No. 47)
Unique sites:
Al1 0.0000 0.0000 0.0000 [1 per cell]
Cd1 0.5000 0.5000 0.0000 [1 per cell]
Tc1 0.0000 0.5000 0.5000 [1 per cell]
Tc2 0.5000 0.0000 0.5000 [1 per cell]

=====

Model 2:
The following is a DFT calculation (PBE) of an optimized crystal structure of AlCdTc2.

Calculated values
V   127.8 Å³ per cell

Cell lengths 9.0060, 2.8895, 4.9711 Å; angles 90.00, 98.79, 90.00 degrees
Space group Cm (No. 8)
Unique sites:
Al1 0.0000 0.0000 0.0000 [2 per cell]
Cd1 0.2591 0.5000 0.2518 [2 per cell]
Tc1 0.0148 0.5000 0.5457 [2 per cell]
Tc2 0.2563 0.0000 0.7480 [2 per cell]

=====

Verdict on stability: model 1 comes out at the bottom.

=====

Model 1:
The following is a DFT calculation (PBE) of an optimized crystal structure of AlCdTc2.

Calculated values
V   131.5 Å³ per cell

Cell lengths 2.9793, 4.7369, 9.3192 Å; angles 90.00, 90.00, 90.00 degrees
Space group Cmm2 (No. 35)
Unique sites:
Al1 0.0000 0.0000 0.0000 [2 per cell]
Cd1 0.0000 0.5000 0.2780 [2 per cell]
Tc1 0.0000 0.0000 0.5493 [2 per cell]
Tc2 0.0000 0.5000 0.7730 [2 per cell]

=====

Model 2:
The following is a DFT calculation (PBE) of an optimized crystal structure of AlCdTc2.

Calculated values
V   128.0 Å³ per cell

Cell lengths 9.2420, 2.8913, 4.9162 Å; angles 90.00, 102.96, 90.00 degrees
Space group C2/m (No. 12)
Unique sites:
Al1 0.0000 0.0000 0.0000 [2 per cell]
Cd1 0.0000 0.5000 0.5000 [2 per cell]
Tc1 0.2408 0.5000 0.2243 [4 per cell]

=====

Verdict on stability: model 2 comes out at the bottom.

=====

Model 1:
The following is a DFT calculation (PBE) of an optimized crystal structure of AlCdTc2.

Calculated values
V   190.3 Å³ per cell

Cell lengths 2.8307, 2.8307, 27.4294 Å; angles 90.00, 90.00, 120.00 degrees
Space group R-3m (No. 166, hexagonal axes)
Unique sites:
Al1 0.0000 0.0000 0.0000 [3 per cell]
Cd1 0.0000 0.0000 0.5000 [3 per cell]
Tc1 0.0000 0.0000 0.2559 [6 per cell]

=====

Model 2:
The following is a DFT calculation (PBE) of an optimized crystal structure of AlCdTc2.

Calculated values
V   63.8 Å³ per cell

Cell lengths 2.7725, 2.7725, 8.3036 Å; angles 90.00, 90.00, 90.00 degrees
Space group P4/mmm (No. 123)
Unique sites:
Al1 0.0000 0.0000 0.0000 [1 per cell]
Cd1 0.0000 0.0000 0.5000 [1 per cell]
Tc1 0.5000 0.5000 0.2270 [2 per cell]

=====

Verdict on stability: model 2 comes out at the bottom.